PuIn9Rh2: optimized geometry, PBE-GGA.

Geometry as POSCAR:
```
PuIn9Rh2
1.0
-4.4148 -5.8505 -0.2890
4.7194 -8.1602 0.0176
-2.5429 -3.1006 8.5313
Pu In Rh
2 18 4
Direct
0.5000 0.0000 0.0000
0.2500 0.5000 0.5000
0.7500 0.5000 0.5000
0.0000 0.0000 0.0000
0.9831 0.9351 0.6946
0.6128 0.0649 0.3054
0.6682 0.1946 0.5649
0.4277 0.8054 0.4351
0.7669 0.8054 0.5649
0.1372 0.1946 0.4351
0.0818 0.9351 0.3054
0.3223 0.0649 0.6946
0.7669 0.5649 0.8054
0.1372 0.4351 0.1946
0.0818 0.3054 0.9351
0.3223 0.6946 0.0649
0.9831 0.6946 0.9351
0.6128 0.3054 0.0649
0.6682 0.5649 0.1946
0.4277 0.4351 0.8054
0.8750 0.2500 0.7500
0.8750 0.7500 0.2500
0.8750 0.2500 0.2500
0.3750 0.7500 0.7500
```

Output
- E_form (eV per formula unit) = -1.10
- uncorrected energy (eV/atom) = -4.565
- space group = I4_1/amd
- theoretical density (g/cm3) = 8.9
- crystal system = tetragonal
- total magnetic moment (μB per formula unit) = 6.032